## P
Dy2ErTc (GGA-PBE, optimized geometry); SG = P4/mmm, No. 123; size of the total moment = 0.000 μB/f.u.
1.0
3.459 0.000 0.000
0.000 3.459 0.000
0.000 0.000 8.755
Dy Er Tc
2 1 1
Direct
0.000 0.000 0.188
0.000 0.000 0.812
0.500 0.500 0.500
0.500 0.500 0.000

## Q
Dy2ErTc (GGA-PBE, optimized geometry); SG = R-3m, No. 166; size of the total moment = 0.150 μB/f.u.
1.0
1.704 0.984 10.866
-1.704 0.984 10.866
0.000 -1.967 10.866
Dy Er Tc
2 1 1
Direct
0.104 0.104 0.104
0.896 0.896 0.896
0.000 0.000 0.000
0.500 0.500 0.500

## R
Dy2ErTc (GGA-PBE, optimized geometry); SG = Pnma, No. 62; size of the total moment = 0.000 μB/f.u.
1.0
7.409 0.000 0.000
0.000 9.163 0.000
0.000 0.000 6.229
Dy Er Tc
8 4 4
Direct
0.177 0.063 0.159
0.177 0.437 0.159
0.323 0.563 0.659
0.323 0.937 0.659
0.677 0.063 0.341
0.677 0.437 0.341
0.823 0.563 0.841
0.823 0.937 0.841
0.043 0.250 0.629
0.457 0.750 0.129
0.543 0.250 0.871
0.957 0.750 0.371
0.114 0.750 0.959
0.386 0.250 0.459
0.614 0.750 0.541
0.886 0.250 0.041

Need the numbers? Relative energies in eV/atom: P 0.143; Q 0.393; R 0.000.

## P
DyErTc (GGA-PBE, optimized geometry); SG = Cmcm, No. 63; size of the total moment = 0.000 μB/f.u.
1.0
2.196 -9.035 0.000
2.196 9.035 0.000
0.000 0.000 3.988
Dy Er Tc
2 2 2
Direct
0.085 0.915 0.750
0.915 0.085 0.250
0.302 0.698 0.750
0.698 0.302 0.250
0.464 0.536 0.750
0.536 0.464 0.250

## Q
DyErTc (GGA-PBE, optimized geometry); SG = I4mm, No. 107; size of the total moment = 0.000 μB/f.u.
1.0
-1.729 1.729 6.156
1.729 -1.729 6.156
1.729 1.729 -6.156
Dy Er Tc
1 1 1
Direct
0.000 0.000 0.000
0.262 0.262 0.000
0.632 0.632 0.000

Need the numbers? Relative energies in eV/atom: P 0.092; Q 0.000.

## P
DyEr2Tc (GGA-PBE, optimized geometry); SG = R-3m, No. 166; size of the total moment = 0.001 μB/f.u.
1.0
1.696 0.979 10.879
-1.696 0.979 10.879
0.000 -1.959 10.879
Dy Er Tc
1 2 1
Direct
0.000 0.000 0.000
0.105 0.105 0.105
0.895 0.895 0.895
0.500 0.500 0.500

## Q
DyEr2Tc (GGA-PBE, optimized geometry); SG = Pnma, No. 62; size of the total moment = 0.000 μB/f.u.
1.0
7.436 0.000 0.000
0.000 9.062 0.000
0.000 0.000 6.199
Dy Er Tc
4 8 4
Direct
0.041 0.250 0.127
0.459 0.750 0.627
0.541 0.250 0.373
0.959 0.750 0.873
0.176 0.063 0.656
0.176 0.437 0.656
0.324 0.563 0.156
0.324 0.937 0.156
0.676 0.063 0.844
0.676 0.437 0.844
0.824 0.563 0.344
0.824 0.937 0.344
0.116 0.750 0.456
0.384 0.250 0.956
0.616 0.750 0.044
0.884 0.250 0.544

## R
DyEr2Tc (GGA-PBE, optimized geometry); SG = P4/mmm, No. 123; size of the total moment = 0.005 μB/f.u.
1.0
3.433 0.000 0.000
0.000 3.433 0.000
0.000 0.000 8.799
Dy Er Tc
1 2 1
Direct
0.000 0.000 0.000
0.500 0.500 0.315
0.500 0.500 0.685
0.000 0.000 0.500

Need the numbers? Relative energies in eV/atom: P 0.379; Q 0.000; R 0.122.